First-principles (GGA-PBE) data for an optimized crystal structure of Ge2HPtPb, as listed in Alexandria.

## Properties
- Spin magnetization: 0.000 μB/atom
- Final energy: -22.0 eV/f.u.

a b c (Å): 5.171 3.470 5.171
angles (deg): 90.00 90.00 90.00
Fractional positions:
Pb 0.500 0.500 0.500
H 0.000 0.500 0.000
Ge 0.500 0.000 0.000
Ge 0.000 0.000 0.500
Pt 0.000 0.000 0.000